Compound: PuCoGe2O8
Source: Alexandria via LeMat-Bulk
Functional: PBE+U
Structure: optimized geometry

Geometry as POSCAR:
```
PuCoGe2O8
1.0
-3.397 3.397 3.223
3.397 -3.397 3.223
3.397 3.397 -3.223
Pu Co Ge O
1 1 2 8
Direct
0.000 0.000 0.000
0.750 0.250 0.500
0.250 0.750 0.500
0.500 0.500 0.000
0.069 0.375 0.306
0.069 0.764 0.694
0.119 0.310 0.809
0.236 0.931 0.306
0.501 0.310 0.191
0.625 0.931 0.694
0.690 0.499 0.809
0.690 0.881 0.191
```

## Properties
Magnetic moment, μB per formula unit: 5.08
Crystal system: tetragonal
Electronic total energy, eV per formula unit: -87.4
D(E_F), states/eV/f.u.: 8.086